Entry 1:
Entry from Alexandria: a geometry-optimized NiOsW2 structure (PBE).

Properties
Energy relative to the elements: 0.5 eV/f.u.
Fermi-level density of states: 0.85 states/eV per atom
Raw total energy: -10.603 eV per atom
Distance to the lowest polymorph of the same formula: 119.1 meV per atom

Unit cell a=4.723 b=4.723 c=4.723 alpha=131.36 beta=131.36 gamma=71.24
Positions (direct):
Ni (0.000, 0.000, 0.000)
Os (0.250, 0.750, 0.500)
W (0.500, 0.500, 0.000)
W (0.750, 0.250, 0.500)

Entry 2:
Entry from Alexandria: a geometry-optimized NiOsW structure (PBE).

Properties
Energy relative to the elements: 0.4 eV/f.u.
Fermi-level density of states: 0.91 states/eV per atom
Raw total energy: -9.868 eV per atom
Distance to the lowest polymorph of the same formula: 118.5 meV per atom

Unit cell a=4.268 b=4.268 c=2.674 alpha=90.00 beta=90.00 gamma=120.00
Positions (direct):
Ni (0.000, 0.000, 0.000)
Os (0.667, 0.333, 0.479)
W (0.333, 0.667, 0.883)

Entry 3:
Entry from Alexandria: a geometry-optimized NiOsW2 structure (PBE).

Properties
Energy relative to the elements: 0.2 eV/f.u.
Fermi-level density of states: 0.87 states/eV per atom
Raw total energy: -10.674 eV per atom
Distance to the lowest polymorph of the same formula: 48.8 meV per atom

Unit cell a=2.792 b=4.398 c=4.727 alpha=90.00 beta=90.00 gamma=90.00
Positions (direct):
Ni (0.000, 0.000, 0.000)
Os (0.000, 0.500, 0.652)
W (0.500, 0.000, 0.493)
W (0.500, 0.500, 0.137)

Entry 4:
Entry from Alexandria: a geometry-optimized NiOsW4 structure (PBE).

Properties
Energy relative to the elements: 3.6 eV/f.u.
Fermi-level density of states: 0.56 states/eV per atom
Raw total energy: -10.866 eV per atom

Unit cell a=5.165 b=5.165 c=5.165 alpha=60.00 beta=60.00 gamma=60.00
Positions (direct):
Ni (0.000, 0.000, 0.000)
Os (0.250, 0.250, 0.250)
W (0.122, 0.626, 0.626)
W (0.626, 0.122, 0.626)
W (0.626, 0.626, 0.122)
W (0.626, 0.626, 0.626)

Entry 5:
Entry from Alexandria: a geometry-optimized NiOs2W structure (PBE).

Properties
Energy relative to the elements: 1.0 eV/f.u.
Fermi-level density of states: 1.04 states/eV per atom
Raw total energy: -10.053 eV per atom
Distance to the lowest polymorph of the same formula: 230.6 meV per atom

Unit cell a=2.680 b=4.380 c=4.872 alpha=90.00 beta=95.55 gamma=90.00
Positions (direct):
Ni (0.000, 0.000, 0.000)
Os (0.213, 0.500, 0.771)
Os (0.787, 0.500, 0.229)
W (0.500, 0.000, 0.500)

Entry 6:
Entry from Alexandria: a geometry-optimized NiOsW structure (PBE).

Properties
Energy relative to the elements: 1.8 eV/f.u.
Fermi-level density of states: 1.01 states/eV per atom
Raw total energy: -9.384 eV per atom
Distance to the lowest polymorph of the same formula: 602.6 meV per atom

Unit cell a=4.149 b=4.149 c=4.149 alpha=60.00 beta=60.00 gamma=60.00
Positions (direct):
Ni (0.000, 0.000, 0.000)
Os (0.250, 0.250, 0.250)
W (0.500, 0.500, 0.500)